{"formula": "PrCuSn2Pd", "functional": "PBE", "state": "optimized geometry", "lattice_angstrom": [[-4.359, 0.126, -1.277], [-1.256, -1.351, 4.153], [-0.621, 10.200, 3.130]], "species": ["Cu", "Cu", "Pd", "Pd", "Pr", "Pr", "Sn", "Sn", "Sn", "Sn"], "fractional_positions": [[0.000, 0.500, 0.369], [0.500, 0.000, 0.631], [0.000, 0.000, 0.000], [0.500, 0.500, 0.000], [0.500, 0.000, 0.243], [0.000, 0.500, 0.757], [0.000, 0.500, 0.132], [0.000, 0.000, 0.500], [0.500, 0.500, 0.500], [0.500, 0.000, 0.868]], "relative_energy_mev_per_atom": 14}